1.
VASP calculation (GGA-PBE) on a relaxed structure of Nd2DyPb.

Values from the calculation:
- space group = No. 11
- distance to the lowest polymorph of the same formula (meV per atom) = 69
- formation energy (eV per atom) = -0.248

Cell and atoms, written as POSCAR:
```
Nd2DyPb
1.0
-3.5092 2.2419 2.2318
-2.6698 -0.4393 -3.7567
-2.2486 -11.4246 2.9340
Nd Dy Pb
4 2 2
Direct
0.5700 0.2500 0.1399
0.4300 0.7500 0.8601
0.0608 0.7500 0.1220
0.9392 0.2500 0.8780
0.6952 0.7500 0.3889
0.3048 0.2500 0.6111
0.1731 0.2500 0.3439
0.8269 0.7500 0.6561
```

2.
VASP calculation (GGA-PBE) on a relaxed structure of Nd3DyPb5.

Values from the calculation:
- space group = No. 193
- formation energy (eV per atom) = -0.478

Cell and atoms, written as POSCAR:
```
Nd3DyPb5
1.0
-4.1545 -0.0785 5.1675
-5.0669 -7.1740 -4.1826
7.4181 -2.1021 5.9319
Nd Dy Pb
6 2 10
Direct
0.7500 0.3817 0.0000
0.7500 0.6183 0.6183
0.7500 0.0000 0.3817
0.2500 0.6183 0.0000
0.2500 0.3817 0.3817
0.2500 0.0000 0.6183
0.0000 0.0000 0.0000
0.5000 0.0000 0.0000
0.0000 0.3333 0.6667
0.5000 0.6667 0.3333
0.0000 0.6667 0.3333
0.5000 0.3333 0.6667
0.7500 0.7166 0.0000
0.7500 0.2834 0.2834
0.7500 0.0000 0.7166
0.2500 0.2834 0.0000
0.2500 0.7166 0.7166
0.2500 0.0000 0.2834
```

3.
VASP calculation (GGA-PBE) on a relaxed structure of Nd2DyPb2.

Values from the calculation:
- space group = No. 14
- distance to the lowest polymorph of the same formula (meV per atom) = 134
- formation energy (eV per atom) = -0.387

Cell and atoms, written as POSCAR:
```
Nd2DyPb2
1.0
-6.4801 -2.5257 -2.0699
0.3498 -6.2268 6.5029
-4.5731 6.4660 6.4374
Nd Dy Pb
8 4 8
Direct
0.5001 0.2494 0.0909
0.0001 0.2506 0.0909
0.9999 0.7494 0.9091
0.4999 0.7506 0.9091
0.0000 0.7491 0.3214
0.5000 0.7509 0.3214
0.5000 0.2491 0.6786
0.0000 0.2509 0.6786
0.2520 0.4094 0.3873
0.7480 0.5906 0.6127
0.7520 0.0906 0.3873
0.2480 0.9094 0.6127
0.7507 0.9435 0.1141
0.2507 0.5565 0.1141
0.7493 0.4435 0.8859
0.2493 0.0565 0.8859
0.7494 0.4264 0.3472
0.2494 0.0736 0.3472
0.7506 0.9264 0.6528
0.2506 0.5736 0.6528
```

4.
VASP calculation (GGA-PBE) on a relaxed structure of Nd2DyPb.

Values from the calculation:
- space group = No. 160
- distance to the lowest polymorph of the same formula (meV per atom) = 169
- formation energy (eV per atom) = -0.148

Cell and atoms, written as POSCAR:
```
Nd2DyPb
1.0
3.6669 0.0000 0.0000
1.8334 3.1756 0.0000
1.8334 1.0585 11.2701
Nd Dy Pb
2 1 1
Direct
0.0811 0.0811 0.7567
0.2524 0.2524 0.2427
0.5001 0.5001 0.4997
0.6664 0.6664 0.0009
```